The following is a DFT calculation (PBEsol) of NbCrN3 after structural relaxation.

Lattice parameters (Å, degrees): 3.637 3.637 3.637 90.00 90.00 90.00
Atoms (fractional coordinates):
Cr1 0.000 0.000 0.000
Nb1 0.500 0.500 0.500
N1 0.000 0.500 0.000
N2 0.000 0.000 0.500
N3 0.500 0.000 0.000

Values from the calculation:
magnetic moment	0.01	μB/cell
DOS(E_F)	3.83	states/eV per cell
ΔE_f (raw)	0.72	eV/f.u.
SG	No. 221
mass density	6.5	Mg/m³


The following is a DFT calculation (PBEsol) of LiTc2Au after structural relaxation.

Lattice parameters (Å, degrees): 2.596 4.613 4.955 90.00 103.99 90.00
Atoms (fractional coordinates):
Au1 0.500 0.500 0.000
Li1 0.000 0.500 0.500
Tc1 0.717 0.000 0.736
Tc2 0.283 0.000 0.264

Values from the calculation:
magnetic moment	0.00	μB/cell
DOS(E_F)	2.86	states/eV per cell
SG	No. 10
formation enthalpy at 0 K	1.0	eV/f.u.
energy relative to the lowest polymorph listed for this composition	0.07	eV per formula unit
mass density	11.5	Mg/m³


The following is a DFT calculation (PBEsol) of Zn2P2Au after structural relaxation.

Lattice parameters (Å, degrees): 3.256 3.256 7.839 101.99 101.99 90.00
Atoms (fractional coordinates):
P1 0.250 0.750 0.500
P2 0.750 0.250 0.500
Zn1 0.405 0.405 0.809
Zn2 0.595 0.595 0.191
Au1 0.000 0.000 0.000

Values from the calculation:
magnetic moment	0.00	μB/cell
DOS(E_F)	2.09	states/eV per cell
SG	No. 139
formation enthalpy at 0 K	0.6	eV/f.u.
mass density	8.1	Mg/m³